1.
## ScIrCl2 (PBE)

Data for a relaxed structure of ScIrCl2.

The structure in extended XYZ format:
```
4
Lattice="-2.799 -2.833 1.201 1.466 -2.709 -2.975 2.863 -1.674 2.722" Properties=species:S:1:pos:R:3 pbc="T T T"
Cl 0.060 -0.061 -0.004
Cl 2.105 -2.131 -0.123
Ir -0.317 -2.513 0.538
Sc 1.847 -4.704 0.411
```

energy	-0.371	Ry/atom
distance to the lowest polymorph of the same formula	606	meV/atom
SG	Cmmm, No. 65

2.
## PrDy2Ni (PBE)

Data for a relaxed structure of PrDy2Ni.

The structure in extended XYZ format:
```
4
Lattice="-1.420 -3.056 -1.283 2.160 -2.673 -1.092 0.162 -5.934 8.892" Properties=species:S:1:pos:R:3 pbc="T T T"
Dy 0.711 -7.085 0.890
Dy 0.190 -4.578 5.628
Pr 0.000 0.000 0.000
Ni 0.451 -5.831 3.259
```

energy	-0.360	Ry/atom
distance to the lowest polymorph of the same formula	233	meV/atom
SG	R-3m, No. 166
calculated formation energy	0.17	eV/f.u.